(1)
# Pr3Er3Sc2 | Alexandria | PBE-GGA | relaxed
# - Energy relative to the elements: 0.0491 eV/atom
# - D(E_F): 26.6 states/eV/cell
# - Crystal system: orthorhombic
data_Pr3Er3Sc2
_cell_length_a 5.006
_cell_length_b 5.047
_cell_length_c 19.634
_cell_angle_alpha 90.00
_cell_angle_beta 90.00
_cell_angle_gamma 90.00
_space_group_name_H-M_alt 'I m m m'
_space_group_IT_number 71
_space_group_name_Hall '-I 2 2'
loop_
_atom_site_label
_atom_site_type_symbol
_atom_site_fract_x
_atom_site_fract_y
_atom_site_fract_z
Pr1 Pr 0.000 0.000 0.000
Pr2 Pr 0.000 0.500 0.131
Er1 Er 0.000 0.000 0.500
Er2 Er 0.000 0.500 0.368
Sc1 Sc 0.000 0.000 0.249

***

(2)
# MoPCl | Alexandria | PBE-GGA | relaxed
# - Uncorrected formation energy: -0.1955 eV per atom
# - D(E_F): 2.1 states/eV/cell
# - Crystal system: trigonal
data_MoPCl
_cell_length_a 3.2655
_cell_length_b 3.2655
_cell_length_c 6.1287
_cell_angle_alpha 90.00
_cell_angle_beta 90.00
_cell_angle_gamma 120.00
_space_group_name_H-M_alt 'P 3 m 1'
_space_group_IT_number 156
_space_group_name_Hall 'P 3 -2"'
loop_
_atom_site_label
_atom_site_type_symbol
_atom_site_fract_x
_atom_site_fract_y
_atom_site_fract_z
Mo1 Mo 0.0000 0.0000 0.0000
P1 P 0.6667 0.3333 0.2394
Cl1 Cl 0.3333 0.6667 0.7074

***

(3)
# Cu2Se | Alexandria | PBE-GGA | relaxed
# - Uncorrected formation energy: 0.2693 eV per atom
# - D(E_F): 0.8 states/eV/cell
# - Crystal system: tetragonal
data_Cu2Se
_cell_length_a 3.584
_cell_length_b 3.584
_cell_length_c 4.591
_cell_angle_alpha 90.00
_cell_angle_beta 90.00
_cell_angle_gamma 90.00
_space_group_name_H-M_alt 'P 4/m m m'
_space_group_IT_number 123
_space_group_name_Hall '-P 4 2'
loop_
_atom_site_label
_atom_site_type_symbol
_atom_site_fract_x
_atom_site_fract_y
_atom_site_fract_z
Cu1 Cu 0.000 0.000 0.000
Cu2 Cu 0.500 0.500 0.500
Se1 Se 0.000 0.000 0.500

***

(4)
# Mg3Ga2Sn | Alexandria | PBE-GGA | relaxed
# - Energy relative to the elements: -0.1251 eV/atom
# - D(E_F): 2.0 states/eV/cell
# - Crystal system: tetragonal
data_Mg3Ga2Sn
_cell_length_a 3.306
_cell_length_b 3.306
_cell_length_c 11.502
_cell_angle_alpha 90.00
_cell_angle_beta 90.00
_cell_angle_gamma 90.00
_space_group_name_H-M_alt 'P 4/m m m'
_space_group_IT_number 123
_space_group_name_Hall '-P 4 2'
loop_
_atom_site_label
_atom_site_type_symbol
_atom_site_fract_x
_atom_site_fract_y
_atom_site_fract_z
Mg1 Mg 0.000 0.000 0.000
Mg2 Mg 0.000 0.000 0.307
Ga1 Ga 0.500 0.500 0.154
Sn1 Sn 0.500 0.500 0.500